(1)
Material: InCoOs2
Method: DFT, GGA-PBE
State: optimized geometry

Properties
**Volume**: 59 Å³ per cell
**Symmetry**: No. 216
**Electronic total energy**: -7.509 eV/atom

abc: 4.376 4.376 4.376
angles: 60.00 60.00 60.00
Positions (direct):
In: 0.000 0.000 0.000
Co: 0.250 0.250 0.250
Os: 0.500 0.500 0.500
Os: 0.750 0.750 0.750

=====

(2)
Material: InCoOsPd
Method: DFT, GGA-PBE
State: optimized geometry

Properties
**Energy relative to the lowest polymorph listed for this composition**: 0.0000 eV/atom
**Volume**: 62 Å³ per cell
**Symmetry**: No. 216

abc: 4.431 4.431 4.431
angles: 60.00 60.00 60.00
Positions (direct):
In: 0.000 0.000 0.000
Co: 0.250 0.250 0.250
Os: 0.500 0.500 0.500
Pd: 0.750 0.750 0.750

=====

(3)
Material: TaInCoOs
Method: DFT, GGA-PBE
State: optimized geometry

Properties
**Energy relative to the lowest polymorph listed for this composition**: 0.3921 eV/atom
**Volume**: 64 Å³ per cell
**Symmetry**: No. 216

abc: 4.497 4.497 4.497
angles: 60.00 60.00 60.00
Positions (direct):
Ta: 0.000 0.000 0.000
In: 0.250 0.250 0.250
Co: 0.500 0.500 0.500
Os: 0.750 0.750 0.750

=====

(4)
Material: ZnInCoOs
Method: DFT, GGA-PBE
State: optimized geometry

Properties
**Energy relative to the lowest polymorph listed for this composition**: 0.0000 eV/atom
**Volume**: 59 Å³ per cell
**Symmetry**: No. 216

abc: 4.377 4.377 4.377
angles: 60.00 60.00 60.00
Positions (direct):
Zn: 0.000 0.000 0.000
In: 0.500 0.500 0.500
Co: 0.750 0.750 0.750
Os: 0.250 0.250 0.250

=====

(5)
Material: InCo3P5
Method: DFT, GGA-PBE
State: optimized geometry

Properties
**Volume**: 140 Å³ per cell
**Symmetry**: No. 191
**Electronic total energy**: -5.681 eV/atom

abc: 4.783 4.783 7.063
angles: 90.00 90.00 120.00
Positions (direct):
In: 0.000 0.000 0.000
Co: 0.000 0.500 0.500
Co: 0.500 0.000 0.500
Co: 0.500 0.500 0.500
P: 0.000 0.000 0.500
P: 0.333 0.667 0.241
P: 0.333 0.667 0.759
P: 0.667 0.333 0.241
P: 0.667 0.333 0.759

=====

(6)
Material: PaInCo
Method: DFT, GGA-PBE
State: optimized geometry

Properties
**Volume**: 73 Å³ per cell
**Symmetry**: No. 216
**Electronic total energy**: -5.605 eV/atom

abc: 4.691 4.691 4.691
angles: 60.00 60.00 60.00
Positions (direct):
Pa: 0.000 0.000 0.000
In: 0.750 0.750 0.750
Co: 0.500 0.500 0.500

=====

(7)
Material: In2CoPb
Method: DFT, GGA-PBE
State: optimized geometry

Properties
**Volume**: 88 Å³ per cell
**Symmetry**: No. 216
**Electronic total energy**: -3.560 eV/atom

abc: 5.001 5.001 5.001
angles: 60.00 60.00 60.00
Positions (direct):
In: 0.000 0.000 0.000
In: 0.250 0.250 0.250
Co: 0.750 0.750 0.750
Pb: 0.500 0.500 0.500

=====

(8)
Material: InCo3Pb5
Method: DFT, GGA-PBE
State: optimized geometry

Properties
**Volume**: 209 Å³ per cell
**Symmetry**: No. 191
**Electronic total energy**: -4.460 eV/atom

abc: 5.434 5.434 8.182
angles: 90.00 90.00 120.00
Positions (direct):
In: 0.000 0.000 0.000
Co: 0.000 0.500 0.500
Co: 0.500 0.000 0.500
Co: 0.500 0.500 0.500
Pb: 0.000 0.000 0.500
Pb: 0.333 0.667 0.224
Pb: 0.333 0.667 0.776
Pb: 0.667 0.333 0.224
Pb: 0.667 0.333 0.776

=====

(9)
Material: InCo2Pd2
Method: DFT, GGA-PBE
State: optimized geometry

Properties
**Volume**: 153 Å³ per cell
**Symmetry**: No. 127
**Electronic total energy**: -5.307 eV/atom

abc: 7.353 7.353 2.833
angles: 90.00 90.00 90.00
Positions (direct):
In: 0.000 0.000 0.000
In: 0.500 0.500 0.000
Co: 0.165 0.335 0.500
Co: 0.335 0.835 0.500
Co: 0.665 0.165 0.500
Co: 0.835 0.665 0.500
Pd: 0.131 0.631 0.000
Pd: 0.369 0.131 0.000
Pd: 0.631 0.869 0.000
Pd: 0.869 0.369 0.000

=====

(10)
Material: InCoPd
Method: DFT, GGA-PBE
State: optimized geometry

Properties
**Energy relative to the lowest polymorph listed for this composition**: 0.0000 eV/atom
**Volume**: 53 Å³ per cell
**Symmetry**: No. 216

abc: 4.224 4.224 4.224
angles: 60.00 60.00 60.00
Positions (direct):
In: 0.000 0.000 0.000
Co: 0.250 0.250 0.250
Pd: 0.500 0.500 0.500

=====

(11)
Material: In2CoPd
Method: DFT, GGA-PBE
State: optimized geometry

Properties
**Energy relative to the lowest polymorph listed for this composition**: 0.1595 eV/atom
**Volume**: 69 Å³ per cell
**Symmetry**: No. 216

abc: 4.594 4.594 4.594
angles: 60.00 60.00 60.00
Positions (direct):
In: 0.000 0.000 0.000
In: 0.250 0.250 0.250
Co: 0.750 0.750 0.750
Pd: 0.500 0.500 0.500

=====

(12)
Material: In2CoPd
Method: DFT, GGA-PBE
State: optimized geometry

Properties
**Energy relative to the lowest polymorph listed for this composition**: 0.0000 eV/atom
**Volume**: 136 Å³ per cell
**Symmetry**: No. 63

abc: 6.003 6.003 7.749
angles: 90.00 90.00 150.75
Positions (direct):
In: 0.117 0.883 0.541
In: 0.117 0.883 0.959
In: 0.883 0.117 0.041
In: 0.883 0.117 0.459
Co: 0.472 0.528 0.750
Co: 0.528 0.472 0.250
Pd: 0.241 0.759 0.250
Pd: 0.759 0.241 0.750